Density functional theory data (GGA+U) for a geometry-optimized Mg2MnNb2O8 structure.

a b c (Å): 10.209 10.209 5.223
angles (deg): 90.18 90.18 34.55
Fractional positions:
Mg 0.089 0.370 0.253
Mg 0.370 0.089 0.753
Mg 0.630 0.911 0.247
Mg 0.911 0.630 0.747
Mn 0.164 0.836 0.750
Mn 0.836 0.164 0.250
Nb 0.212 0.552 0.241
Nb 0.448 0.788 0.259
Nb 0.552 0.212 0.741
Nb 0.788 0.448 0.759
O 0.047 0.337 0.615
O 0.065 0.814 0.092
O 0.186 0.935 0.408
O 0.205 0.417 0.957
O 0.320 0.533 0.574
O 0.337 0.047 0.115
O 0.417 0.205 0.457
O 0.467 0.680 0.926
O 0.533 0.320 0.074
O 0.583 0.795 0.543
O 0.663 0.953 0.885
O 0.680 0.467 0.426
O 0.795 0.583 0.043
O 0.814 0.065 0.592
O 0.935 0.186 0.908
O 0.953 0.663 0.385

Computed properties:
Raw total energy = -206.41 eV for the cell shown